! Re2TeCl | Alexandria via LeMat-Bulk | PBE-GGA | optimized geometry; values from VASP
&SYSTEM
  ibrav = 0, nat = 4, ntyp = 3
/
ATOMIC_SPECIES
Cl 35.45 Cl.upf
Re 186.21 Re.upf
Te 127.60 Te.upf
ATOMIC_POSITIONS crystal
Cl 0.5000 0.5000 0.8135
Re 0.0000 0.0000 0.0197
Re 0.5000 0.5000 0.2059
Te 0.0000 0.0000 0.4609
CELL_PARAMETERS angstrom
3.0570 0.0371 0.0000
-1.4702 2.6804 0.0000
0.0000 0.0000 10.0176
! Formation energy (no corrections) in eV/atom: 0.59
! Symmetry: Cmm2 (35)
! V in Å³ per atom: 20.7
! DOS at the Fermi energy in states/eV/f.u.: 2.8
! Distance to the lowest polymorph of the same formula in eV/atom: 0.5224
! Raw total energy in eV/cell: -27.5